Mn3Co4H9 | PBE | optimized geometry

abc: 4.291 4.291 7.123
angles: 72.47 72.47 60.00
Fractional positions:
Mn 0.988 0.988 0.035
Mn 0.854 0.854 0.439
Mn 0.453 0.453 0.640
Co 0.586 0.586 0.241
Co 0.120 0.120 0.639
Co 0.253 0.253 0.241
Co 0.722 0.722 0.835
H 0.974 0.441 0.067
H 0.517 0.974 0.067
H 0.441 0.517 0.067
H 0.865 0.335 0.430
H 0.369 0.865 0.430
H 0.335 0.369 0.430
H 0.758 0.336 0.806
H 0.336 0.100 0.806
H 0.100 0.758 0.806

Output
Total magnetization (μB/f.u.): 13.3
E_tot (eV per atom): -5.338

Mn2Co3H8 | PBE | optimized geometry

abc: 5.815 5.815 2.640
angles: 90.00 90.00 102.15
Fractional positions:
Mn 0.725 0.275 0.500
Mn 0.275 0.725 0.500
Co 0.000 0.000 0.500
Co 0.307 0.307 0.000
Co 0.693 0.693 0.000
H 0.400 0.600 0.000
H 0.600 0.400 0.000
H 0.870 0.130 0.000
H 0.130 0.870 0.000
H 0.848 0.618 0.500
H 0.382 0.152 0.500
H 0.618 0.848 0.500
H 0.152 0.382 0.500

Output
Total magnetization (μB/f.u.): 9.5
E_tot (eV per atom): -4.966

MnCoH3 | PBE | optimized geometry

abc: 4.331 5.845 5.834
angles: 124.87 90.00 90.00
Fractional positions:
Mn 0.745 0.061 0.688
Mn 0.255 0.939 0.312
Mn 0.245 0.439 0.812
Mn 0.755 0.561 0.188
Co 0.251 0.414 0.335
Co 0.749 0.586 0.665
Co 0.751 0.086 0.165
Co 0.249 0.914 0.835
H 0.995 0.725 0.546
H 0.005 0.275 0.454
H 0.495 0.775 0.954
H 0.505 0.225 0.046
H 0.499 0.702 0.530
H 0.501 0.298 0.470
H 0.999 0.798 0.970
H 0.001 0.202 0.030
H 0.182 0.584 0.170
H 0.818 0.416 0.830
H 0.682 0.916 0.330
H 0.318 0.084 0.670

Output
Total magnetization (μB/f.u.): 3.5
E_tot (eV per atom): -5.216

Mn2CoH6 | PBE | optimized geometry

abc: 4.484 4.256 6.248
angles: 90.00 91.78 90.00
Fractional positions:
Mn 0.989 0.467 0.766
Mn 0.511 0.967 0.734
Mn 0.489 0.033 0.266
Mn 0.011 0.533 0.234
Co 0.500 0.500 0.000
Co 0.000 0.000 0.500
H 0.900 0.963 0.254
H 0.783 0.718 0.566
H 0.788 0.717 0.967
H 0.712 0.217 0.533
H 0.717 0.218 0.934
H 0.600 0.463 0.246
H 0.100 0.037 0.746
H 0.217 0.282 0.434
H 0.212 0.283 0.033
H 0.288 0.783 0.467
H 0.283 0.782 0.066
H 0.400 0.537 0.754

Output
Total magnetization (μB/f.u.): 7.8
E_tot (eV per atom): -4.996

Mn2CoH | PBE | optimized geometry

abc: 2.534 2.534 6.299
angles: 78.40 78.40 60.00
Fractional positions:
Mn 0.060 0.060 0.821
Mn 0.274 0.274 0.177
Co 0.499 0.499 0.503
H 0.667 0.667 0.998

Output
Total magnetization (μB/f.u.): 0.3
E_tot (eV per atom): -7.171

MnCo4H4 | PBE | optimized geometry

abc: 3.645 4.550 4.551
angles: 80.75 66.39 66.38
Fractional positions:
Mn 0.000 0.000 0.000
Co 0.601 0.598 0.200
Co 0.399 0.402 0.800
Co 0.199 0.200 0.402
Co 0.801 0.800 0.598
H 0.892 0.416 0.800
H 0.108 0.584 0.200
H 0.308 0.800 0.584
H 0.692 0.200 0.416

Output
Total magnetization (μB/f.u.): 7.6
E_tot (eV per atom): -5.673

Mn3CoH | PBE | optimized geometry

abc: 4.501 4.501 4.501
angles: 90.00 90.00 90.00
Fractional positions:
H 0.500 0.500 0.500
Mn 0.000 0.500 0.000
Mn 0.000 0.000 0.500
Mn 0.500 0.000 0.000
Co 0.000 0.000 0.000

Output
Total magnetization (μB/f.u.): 12.7
E_tot (eV per atom): -6.247

MnCoH3 | PBE | optimized geometry

abc: 2.660 4.461 5.248
angles: 89.95 104.71 90.03
Fractional positions:
Mn 0.532 0.670 0.343
Mn 0.147 0.164 0.575
Co 0.792 0.737 0.864
Co 0.410 0.173 0.098
H 0.004 0.394 0.288
H 0.984 0.934 0.249
H 0.361 0.546 0.001
H 0.794 0.115 0.867
H 0.175 0.774 0.631
H 0.669 0.434 0.619

Output
Total magnetization (μB/f.u.): 3.3
E_tot (eV per atom): -5.196